# 1
{
  "formula": "NaMn2MoSe",
  "functional": "GGA-PBE",
  "state": "optimized geometry",
  "lattice": [[4.724, 0.000, 0.000], [0.000, 4.724, 0.000], [0.000, 0.000, 5.003]],
  "species": ["Na", "Mn", "Mn", "Mo", "Se"],
  "fractional_positions": [[0.000, 0.000, 0.000], [0.000, 0.500, 0.000], [0.500, 0.000, 0.000], [0.000, 0.000, 0.500], [0.500, 0.500, 0.500]],
  "sg": "No. 123",
  "magmom_total_mub_per_cell": 5.30,
  "e_form_raw_ev_per_atom": 1.864,
  "dft_energy_ev_per_cell": -24.65,
  "dos_at_fermi_per_ev_atom": 1.222
}

=====

# 2
{
  "formula": "Mg2BC",
  "functional": "GGA-PBE",
  "state": "optimized geometry",
  "lattice": [[4.970, 0.000, 0.000], [0.000, 2.878, 0.000], [-0.016, 0.000, 7.000]],
  "species": ["Mg", "Mg", "Mg", "Mg", "B", "B", "C", "C"],
  "fractional_positions": [[0.000, 0.000, 0.000], [0.169, 0.500, 0.405], [0.500, 0.500, 0.000], [0.669, 0.000, 0.405], [0.336, 0.000, 0.683], [0.836, 0.500, 0.683], [0.001, 0.000, 0.665], [0.501, 0.500, 0.665]],
  "sg": "No. 8",
  "magmom_total_mub_per_cell": 0.00,
  "relative_energy_ev_per_fu": 0.08,
  "dft_energy_ev_per_cell": -37.34,
  "formation_energy_ev_per_fu": 0.42,
  "dos_at_fermi_per_ev_atom": 0.461
}

=====

# 3
{
  "formula": "Tb3DyZn4",
  "functional": "GGA-PBE",
  "state": "optimized geometry",
  "lattice": [[5.043, 0.000, 0.000], [0.000, 5.043, 0.000], [0.000, 0.000, 7.209]],
  "species": ["Tb", "Tb", "Tb", "Dy", "Zn", "Zn", "Zn", "Zn"],
  "fractional_positions": [[0.000, 0.000, 0.000], [0.000, 0.000, 0.500], [0.500, 0.500, 0.000], [0.500, 0.500, 0.500], [0.000, 0.500, 0.251], [0.000, 0.500, 0.749], [0.500, 0.000, 0.251], [0.500, 0.000, 0.749]],
  "sg": "No. 123",
  "magmom_total_mub_per_cell": 0.00,
  "dft_energy_ev_per_cell": -26.30,
  "formation_energy_ev_per_fu": -2.71,
  "dos_at_fermi_per_ev_atom": 1.217
}

=====

# 4
{
  "formula": "SrRe3Pt",
  "functional": "GGA-PBE",
  "state": "optimized geometry",
  "lattice": [[4.683, 0.000, 0.000], [0.000, 4.683, 0.000], [0.000, 0.000, 4.683]],
  "species": ["Sr", "Re", "Re", "Re", "Pt"],
  "fractional_positions": [[0.000, 0.000, 0.000], [0.000, 0.000, 0.500], [0.000, 0.500, 0.000], [0.500, 0.000, 0.000], [0.500, 0.500, 0.500]],
  "sg": "No. 221",
  "magmom_total_mub_per_cell": 0.00,
  "relative_energy_ev_per_fu": 9.12,
  "dft_energy_ev_per_cell": -26.35,
  "formation_energy_ev_per_fu": 18.71,
  "dos_at_fermi_per_ev_atom": 1.107
}

=====

# 5
{
  "formula": "CaLaPrSn",
  "functional": "GGA-PBE",
  "state": "optimized geometry",
  "lattice": [[7.983, 0.000, 0.000], [0.000, 7.983, 0.000], [0.000, 0.000, 7.983]],
  "species": ["Ca", "Ca", "Ca", "Ca", "La", "La", "La", "La", "Pr", "Pr", "Pr", "Pr", "Sn", "Sn", "Sn", "Sn"],
  "fractional_positions": [[0.000, 0.000, 0.000], [0.000, 0.500, 0.500], [0.500, 0.000, 0.500], [0.500, 0.500, 0.000], [0.250, 0.250, 0.750], [0.250, 0.750, 0.250], [0.750, 0.250, 0.250], [0.750, 0.750, 0.750], [0.250, 0.250, 0.250], [0.250, 0.750, 0.750], [0.750, 0.250, 0.750], [0.750, 0.750, 0.250], [0.000, 0.000, 0.500], [0.000, 0.500, 0.000], [0.500, 0.000, 0.000], [0.500, 0.500, 0.500]],
  "sg": "No. 216",
  "magmom_total_mub_per_cell": 0.00,
  "relative_energy_ev_per_fu": 0.00,
  "dft_energy_ev_per_cell": -67.83,
  "formation_energy_ev_per_fu": -1.25,
  "dos_at_fermi_per_ev_atom": 1.263
}

=====

# 6
{
  "formula": "HfMg4Zn5",
  "functional": "GGA-PBE",
  "state": "optimized geometry",
  "lattice": [[3.283, 0.000, 0.000], [0.000, 3.283, 0.000], [0.000, 0.000, 16.582]],
  "species": ["Hf", "Mg", "Mg", "Mg", "Mg", "Zn", "Zn", "Zn", "Zn", "Zn"],
  "fractional_positions": [[0.000, 0.000, 0.000], [0.000, 0.000, 0.202], [0.000, 0.000, 0.401], [0.000, 0.000, 0.599], [0.000, 0.000, 0.798], [0.500, 0.500, 0.103], [0.500, 0.500, 0.301], [0.500, 0.500, 0.500], [0.500, 0.500, 0.699], [0.500, 0.500, 0.897]],
  "sg": "No. 123",
  "magmom_total_mub_per_cell": 0.00,
  "dft_energy_ev_per_cell": -23.66,
  "formation_energy_ev_per_fu": -0.96,
  "dos_at_fermi_per_ev_atom": 0.339
}

=====

# 7
{
  "formula": "Y2MgTa",
  "functional": "GGA-PBE",
  "state": "optimized geometry",
  "lattice": [[4.443, 0.000, 0.000], [0.000, 4.443, 0.000], [0.000, 0.000, 21.239]],
  "species": ["Y", "Y", "Y", "Y", "Y", "Y", "Y", "Y", "Mg", "Mg", "Mg", "Mg", "Ta", "Ta", "Ta", "Ta"],
  "fractional_positions": [[0.241, 0.250, 0.125], [0.250, 0.741, 0.375], [0.250, 0.759, 0.875], [0.259, 0.250, 0.625], [0.741, 0.750, 0.625], [0.750, 0.241, 0.875], [0.750, 0.259, 0.375], [0.759, 0.750, 0.125], [0.000, 0.000, 0.500], [0.000, 0.500, 0.750], [0.500, 0.000, 0.250], [0.500, 0.500, 0.000], [0.000, 0.000, 0.000], [0.000, 0.500, 0.250], [0.500, 0.000, 0.750], [0.500, 0.500, 0.500]],
  "sg": "No. 122",
  "magmom_total_mub_per_cell": 0.00,
  "dft_energy_ev_per_cell": -92.23,
  "formation_energy_ev_per_fu": 3.32,
  "dos_at_fermi_per_ev_atom": 1.416
}

=====

# 8
{
  "formula": "Nd2ZrO",
  "functional": "GGA-PBE",
  "state": "optimized geometry",
  "lattice": [[3.510, 0.000, 0.000], [-1.755, 3.040, 0.000], [0.000, 0.000, 27.295]],
  "species": ["Nd", "Nd", "Nd", "Nd", "Nd", "Nd", "Zr", "Zr", "Zr", "O", "O", "O"],
  "fractional_positions": [[0.000, 0.000, 0.114], [0.000, 0.000, 0.886], [0.333, 0.667, 0.553], [0.333, 0.667, 0.781], [0.667, 0.333, 0.219], [0.667, 0.333, 0.447], [0.000, 0.000, 0.000], [0.333, 0.667, 0.667], [0.667, 0.333, 0.333], [0.000, 0.000, 0.500], [0.333, 0.667, 0.167], [0.667, 0.333, 0.833]],
  "sg": "No. 166",
  "magmom_total_mub_per_cell": 3.31,
  "e_form_raw_ev_per_atom": -0.937,
  "dft_energy_ev_per_cell": -80.37,
  "dos_at_fermi_per_ev_atom": 1.278
}

=====

# 9
{
  "formula": "CrHSe2",
  "functional": "GGA-PBE",
  "state": "optimized geometry",
  "lattice": [[8.722, 0.000, 0.000], [0.000, 8.722, 0.000], [0.000, 0.000, 5.547]],
  "species": ["Cr", "Cr", "Cr", "Cr", "H", "H", "H", "H", "Se", "Se", "Se", "Se", "Se", "Se", "Se", "Se"],
  "fractional_positions": [[0.000, 0.500, 0.250], [0.000, 0.500, 0.750], [0.500, 0.000, 0.250], [0.500, 0.000, 0.750], [0.000, 0.000, 0.250], [0.000, 0.000, 0.750], [0.500, 0.500, 0.250], [0.500, 0.500, 0.750], [0.147, 0.353, 0.000], [0.147, 0.647, 0.500], [0.353, 0.147, 0.500], [0.353, 0.853, 0.000], [0.647, 0.147, 0.000], [0.647, 0.853, 0.500], [0.853, 0.353, 0.500], [0.853, 0.647, 0.000]],
  "sg": "No. 140",
  "magmom_total_mub_per_cell": 4.83,
  "relative_energy_ev_per_fu": 2.71,
  "dft_energy_ev_per_cell": -74.29,
  "dos_at_fermi_per_ev_atom": 1.191
}

=====

# 10
{
  "formula": "RuBr2",
  "functional": "GGA-PBE",
  "state": "optimized geometry",
  "lattice": [[4.398, 0.000, 0.000], [-2.199, 3.809, 0.000], [0.000, 0.000, 9.511]],
  "species": ["Ru", "Ru", "Br", "Br", "Br", "Br"],
  "fractional_positions": [[0.333, 0.667, 0.250], [0.667, 0.333, 0.750], [0.000, 0.000, 0.000], [0.000, 0.000, 0.500], [0.333, 0.667, 0.750], [0.667, 0.333, 0.250]],
  "sg": "No. 194",
  "magmom_total_mub_per_cell": 7.11,
  "e_form_raw_ev_per_atom": 0.777,
  "relative_energy_ev_per_fu": 2.53,
  "dft_energy_ev_per_cell": -20.58,
  "dos_at_fermi_per_ev_atom": 1.230
}

=====

# 11
{
  "formula": "Nd6TmCd",
  "functional": "GGA-PBE",
  "state": "optimized geometry",
  "lattice": [[5.031, 0.000, 0.000], [0.000, 5.031, 0.000], [0.000, 0.000, 10.259]],
  "species": ["Nd", "Nd", "Nd", "Nd", "Nd", "Nd", "Tm", "Cd"],
  "fractional_positions": [[0.000, 0.000, 0.000], [0.000, 0.000, 0.500], [0.000, 0.500, 0.246], [0.000, 0.500, 0.754], [0.500, 0.000, 0.246], [0.500, 0.000, 0.754], [0.500, 0.500, 0.500], [0.500, 0.500, 0.000]],
  "sg": "No. 123",
  "magmom_total_mub_per_cell": 0.00,
  "relative_energy_ev_per_fu": 0.00,
  "dft_energy_ev_per_cell": -34.35,
  "formation_energy_ev_per_fu": -0.35,
  "dos_at_fermi_per_ev_atom": 1.257
}

=====

# 12
{
  "formula": "Zn7GaPd3",
  "functional": "GGA-PBE",
  "state": "optimized geometry",
  "lattice": [[5.660, 0.000, 0.000], [-2.830, 4.902, 0.000], [0.000, 0.000, 6.333]],
  "species": ["Zn", "Zn", "Zn", "Zn", "Zn", "Zn", "Zn", "Ga", "Pd", "Pd", "Pd"],
  "fractional_positions": [[0.000, 0.000, 0.000], [0.008, 0.504, 0.009], [0.172, 0.343, 0.651], [0.172, 0.828, 0.651], [0.496, 0.504, 0.009], [0.496, 0.992, 0.009], [0.657, 0.828, 0.651], [0.667, 0.333, 0.651], [0.333, 0.166, 0.329], [0.834, 0.166, 0.329], [0.834, 0.667, 0.329]],
  "sg": "No. 156",
  "magmom_total_mub_per_cell": 0.00,
  "dft_energy_ev_per_cell": -29.57,
  "formation_energy_ev_per_fu": -2.04,
  "dos_at_fermi_per_ev_atom": 0.310
}

=====

- Number 3 is which compound?
  Tb3DyZn4